# Co2AsIr (PBE, relaxed)
data_Co2AsIr
_chemical_formula_sum 'Co4 As2 Ir2'
_symmetry_space_group_name_H-M 'C m m m'
_symmetry_Int_Tables_number 65
_symmetry_space_group_name_Hall '-C 2 2'
_cell_length_a 2.7892
_cell_length_b 4.7121
_cell_length_c 8.2365
_cell_angle_alpha 90.00
_cell_angle_beta 90.00
_cell_angle_gamma 90.00
loop_
_atom_site_label
_atom_site_type_symbol
_atom_site_fract_x
_atom_site_fract_y
_atom_site_fract_z
Co1 Co 0.0000 0.0000 0.2402
As1 As 0.0000 0.5000 0.0000
Ir1 Ir 0.0000 0.5000 0.5000
# Formation energy   0.34 eV/atom
# Electronic total energy   -6.5856 eV per atom